1.
The following is a DFT calculation (PBE) of an optimized crystal structure of Rb3USe4.

Cell and atoms, written as CIF:
```
data_Rb3USe4
_chemical_formula_sum 'Rb6 U2 Se8'
_cell_length_a 8.455
_cell_length_b 9.510
_cell_length_c 7.676
_cell_angle_alpha 90.00
_cell_angle_beta 109.31
_cell_angle_gamma 90.00
_space_group_name_H-M_alt 'P 1 2/c 1'
_space_group_IT_number 13
loop_
_space_group_symop_operation_xyz
'x,y,z'
'-x,-y,-z'
'-x,y,-z+1/2'
'x,-y,z+1/2'
loop_
_atom_site_label
_atom_site_type_symbol
_atom_site_fract_x
_atom_site_fract_y
_atom_site_fract_z
Rb1 Rb 0.000 0.112 0.250
Rb2 Rb 0.000 0.380 0.750
Rb3 Rb 0.500 0.387 0.250
U1 U 0.500 0.116 0.750
Se1 Se 0.286 0.315 0.552
Se2 Se 0.317 0.096 0.000
```

- Final energy: -76.01 eV per cell
- Energy above the most stable polymorph in this dataset: 0.0000 eV/atom

2.
The following is a DFT calculation (PBE) of an optimized crystal structure of Rb2U2Se5.

Cell and atoms, written as CIF:
```
data_Rb2U2Se5
_chemical_formula_sum 'Rb8 U8 Se20'
_cell_length_a 16.850
_cell_length_b 7.936
_cell_length_c 7.942
_cell_angle_alpha 90.00
_cell_angle_beta 90.00
_cell_angle_gamma 90.00
_space_group_name_H-M_alt 'C m c e'
_space_group_IT_number 64
_space_group_name_Hall '-C 2ac 2'
loop_
_atom_site_label
_atom_site_type_symbol
_atom_site_fract_x
_atom_site_fract_y
_atom_site_fract_z
Rb1 Rb 0.206 0.000 0.000
U1 U 0.000 0.160 0.340
Se1 Se 0.000 0.000 0.000
Se2 Se 0.108 0.145 0.645
```

- Final energy: -212.22 eV per cell
- Energy above the most stable polymorph in this dataset: 0.0000 eV/atom

3.
The following is a DFT calculation (PBE) of an optimized crystal structure of Rb4U3VSe8.

Cell and atoms, written as CIF:
```
data_Rb4U3VSe8
_chemical_formula_sum 'Rb12 U9 V3 Se24'
_cell_length_a 8.3200
_cell_length_b 8.3200
_cell_length_c 24.1889
_cell_angle_alpha 90.00
_cell_angle_beta 90.00
_cell_angle_gamma 120.00
_space_group_name_H-M_alt 'R -3 m'
_space_group_IT_number 166
_space_group_name_Hall '-R 3 2"'
loop_
_atom_site_label
_atom_site_type_symbol
_atom_site_fract_x
_atom_site_fract_y
_atom_site_fract_z
Rb1 Rb 0.0000 0.0000 0.0000
Rb2 Rb 0.0000 0.5000 0.0000
U1 U 0.0000 0.5000 0.5000
V1 V 0.0000 0.0000 0.5000
Se1 Se 0.0000 0.0000 0.2340
Se2 Se 0.0139 0.5069 0.2305
```

- Final energy: -278.22 eV per cell

4.
The following is a DFT calculation (PBE) of an optimized crystal structure of Rb2U2VSe6.

Cell and atoms, written as CIF:
```
data_Rb2U2VSe6
_chemical_formula_sum 'Rb4 U4 V2 Se12'
_cell_length_a 7.003
_cell_length_b 12.010
_cell_length_c 8.592
_cell_angle_alpha 90.00
_cell_angle_beta 106.18
_cell_angle_gamma 90.00
_space_group_name_H-M_alt 'C 1 2/m 1'
_space_group_IT_number 12
loop_
_space_group_symop_operation_xyz
'x,y,z'
'-x,-y,-z'
'-x,y,-z'
'x,-y,z'
'x+1/2,y+1/2,z'
'-x+1/2,-y+1/2,-z'
'-x+1/2,y+1/2,-z'
'x+1/2,-y+1/2,z'
loop_
_atom_site_label
_atom_site_type_symbol
_atom_site_fract_x
_atom_site_fract_y
_atom_site_fract_z
Rb1 Rb 0.000 0.170 0.000
U1 U 0.000 0.333 0.500
V1 V 0.000 0.000 0.500
Se1 Se 0.223 0.157 0.688
Se2 Se 0.249 0.000 0.313
```

- Final energy: -133.89 eV per cell

5.
The following is a DFT calculation (PBE) of an optimized crystal structure of Rb3UV2Se6.

Cell and atoms, written as CIF:
```
data_Rb3UV2Se6
_chemical_formula_sum 'Rb6 U2 V4 Se12'
_cell_length_a 6.924
_cell_length_b 11.981
_cell_length_c 8.256
_cell_angle_alpha 90.00
_cell_angle_beta 106.24
_cell_angle_gamma 90.00
_space_group_name_H-M_alt 'C 1 2/m 1'
_space_group_IT_number 12
loop_
_space_group_symop_operation_xyz
'x,y,z'
'-x,-y,-z'
'-x,y,-z'
'x,-y,z'
'x+1/2,y+1/2,z'
'-x+1/2,-y+1/2,-z'
'-x+1/2,y+1/2,-z'
'x+1/2,-y+1/2,z'
loop_
_atom_site_label
_atom_site_type_symbol
_atom_site_fract_x
_atom_site_fract_y
_atom_site_fract_z
Rb1 Rb 0.000 0.000 0.000
Rb2 Rb 0.000 0.336 0.000
U1 U 0.000 0.500 0.500
V1 V 0.000 0.167 0.500
Se1 Se 0.208 0.000 0.682
Se2 Se 0.237 0.324 0.683
```

- Final energy: -131.15 eV per cell

6.
The following is a DFT calculation (PBE) of an optimized crystal structure of RbUVSe3.

Cell and atoms, written as CIF:
```
data_RbUVSe3
_chemical_formula_sum 'Rb2 U2 V2 Se6'
_cell_length_a 9.726
_cell_length_b 3.890
_cell_length_c 9.977
_cell_angle_alpha 90.00
_cell_angle_beta 113.76
_cell_angle_gamma 90.00
_space_group_name_H-M_alt 'P 1 21/m 1'
_space_group_IT_number 11
loop_
_space_group_symop_operation_xyz
'x,y,z'
'-x,-y,-z'
'-x,y+1/2,-z'
'x,-y+1/2,z'
loop_
_atom_site_label
_atom_site_type_symbol
_atom_site_fract_x
_atom_site_fract_y
_atom_site_fract_z
Rb1 Rb 0.209 0.250 0.237
U1 U 0.322 0.750 0.841
V1 V 0.071 0.250 0.589
Se1 Se 0.113 0.250 0.852
Se2 Se 0.207 0.750 0.526
Se3 Se 0.461 0.750 0.155
```

- Final energy: -75.46 eV per cell

7.
The following is a DFT calculation (PBE) of an optimized crystal structure of RbUVSe4.

Cell and atoms, written as CIF:
```
data_RbUVSe4
_chemical_formula_sum 'Rb2 U2 V2 Se8'
_cell_length_a 6.724
_cell_length_b 6.833
_cell_length_c 9.576
_cell_angle_alpha 90.00
_cell_angle_beta 108.67
_cell_angle_gamma 90.00
_space_group_name_H-M_alt 'P 1 21/m 1'
_space_group_IT_number 11
loop_
_space_group_symop_operation_xyz
'x,y,z'
'-x,-y,-z'
'-x,y+1/2,-z'
'x,-y+1/2,z'
loop_
_atom_site_label
_atom_site_type_symbol
_atom_site_fract_x
_atom_site_fract_y
_atom_site_fract_z
Rb1 Rb 0.241 0.250 0.441
U1 U 0.275 0.250 0.950
V1 V 0.273 0.750 0.164
Se1 Se 0.058 0.750 0.919
Se2 Se 0.066 0.750 0.323
Se3 Se 0.479 0.511 0.796
```

- Final energy: -84.58 eV per cell

8.
The following is a DFT calculation (PBE) of an optimized crystal structure of RbYUSe4.

Cell and atoms, written as CIF:
```
data_RbYUSe4
_chemical_formula_sum 'Rb4 Y4 U4 Se16'
_cell_length_a 8.921
_cell_length_b 8.926
_cell_length_c 12.275
_cell_angle_alpha 90.00
_cell_angle_beta 90.00
_cell_angle_gamma 90.00
_space_group_name_H-M_alt 'I m m a'
_space_group_IT_number 74
_space_group_name_Hall '-I 2b 2'
loop_
_atom_site_label
_atom_site_type_symbol
_atom_site_fract_x
_atom_site_fract_y
_atom_site_fract_z
Rb1 Rb 0.000 0.250 0.126
Y1 Y 0.250 0.250 0.750
U1 U 0.000 0.000 0.500
Se1 Se 0.000 0.042 0.730
Se2 Se 0.203 0.250 0.515
```

- Final energy: -169.94 eV per cell